Entry 1:
The following is a DFT calculation (GGA-PBE) of an optimized crystal structure of Ca4MnSi.

Cell: 6.4358 6.4358 6.4358 Å, 60.00 60.00 60.00°
Last column: nearest neighbours and their distance in Å.
Sites, in units of the cell vectors:
Ca1 0.8756 0.3748 0.3748  6 Ca 3.21-3.22
Ca2 0.3748 0.3748 0.8756  6 Ca 3.21-3.22
Ca3 0.3748 0.8756 0.3748  6 Ca 3.21-3.22
Ca4 0.3748 0.3748 0.3748  6 Ca 3.21-3.22
Mn1 0.7500 0.7500 0.7500  12 Ca 3.77, 4 Si 3.94
Si1 0.0000 0.0000 0.0000  12 Ca 3.77, 4 Mn 3.94

Summary:
The calculation puts the formation energy without anion corrections at 73.2 kJ per mole of atoms.

Entry 2:
The following is a DFT calculation (GGA-PBE) of an optimized crystal structure of Ni8PdRh6.

Cell: 2.6446 9.5059 9.5059 Å, 120.00 90.00 90.00°
Last column: nearest neighbours and their distance in Å.
Sites, in units of the cell vectors:
Ni1 0.7807 0.7182 0.9265  3 Rh 2.48-2.57, 1 Pd 2.52, 4 Ni 2.64-2.67
Ni2 0.7807 0.0735 0.7917  3 Rh 2.48-2.57, 1 Pd 2.52, 4 Ni 2.64-2.67
Ni3 0.7807 0.2082 0.2818  3 Rh 2.48-2.57, 1 Pd 2.52, 4 Ni 2.64-2.67
Ni4 0.2193 0.2818 0.0735  3 Rh 2.48-2.57, 1 Pd 2.52, 4 Ni 2.64-2.67
Ni5 0.2193 0.9265 0.2082  3 Rh 2.48-2.57, 1 Pd 2.52, 4 Ni 2.64-2.67
Ni6 0.2193 0.7917 0.7182  3 Rh 2.48-2.57, 1 Pd 2.52, 4 Ni 2.64-2.67
Ni7 0.7553 0.6667 0.3333  6 Rh 2.48, 2 Ni 2.64
Ni8 0.2447 0.3333 0.6667  6 Rh 2.48, 2 Ni 2.64
Pd1 0.5000 0.0000 0.0000  6 Ni 2.52, 2 Pd 2.64
Rh1 0.7453 0.5327 0.6288  5 Ni 2.48-2.57, 4 Rh 2.56-2.64
Rh2 0.7453 0.3712 0.9039  5 Ni 2.48-2.57, 4 Rh 2.56-2.64
Rh3 0.7453 0.0961 0.4673  5 Ni 2.48-2.57, 4 Rh 2.56-2.64
Rh4 0.2547 0.4673 0.3712  5 Ni 2.48-2.57, 4 Rh 2.56-2.64
Rh5 0.2547 0.6288 0.0961  5 Ni 2.48-2.57, 4 Rh 2.56-2.64
Rh6 0.2547 0.9039 0.5327  5 Ni 2.48-2.57, 4 Rh 2.56-2.64

Summary:
For the offset from the most stable computed form, the calculation gives 167 meV/atom. The formation energy from the elements comes out at 5.081 eV/f.u.

Entry 3:
The following is a DFT calculation (GGA-PBE) of an optimized crystal structure of Rb2CaGaAs2.

Cell: 6.8711 7.0382 9.4613 Å, 111.84 111.29 90.00°
Last column: nearest neighbours and their distance in Å.
Sites, in units of the cell vectors:
Rb1 0.4519 0.1796 0.3592  4 As 3.46-3.80, 2 Ga 3.74
Rb2 0.5481 0.8204 0.6408  4 As 3.46-3.80, 2 Ga 3.74
Rb3 0.0927 0.3204 0.6408  4 As 3.46-3.80, 2 Ga 3.74
Rb4 0.9073 0.6796 0.3592  4 As 3.46-3.80, 2 Ga 3.74
Ca1 0.0000 0.7500 0.0000  4 As 2.95
Ca2 0.0000 0.2500 0.0000  4 As 2.95
Ga1 0.5000 0.7500 0.0000  4 As 2.79
Ga2 0.5000 0.2500 0.0000  4 As 2.79
As1 0.8220 0.0913 0.1827  2 Ga 2.79, 2 Ca 2.95
As2 0.3606 0.5913 0.1827  2 Ga 2.79, 2 Ca 2.95
As3 0.6394 0.4087 0.8173  2 Ga 2.79, 2 Ca 2.95
As4 0.1780 0.9087 0.8173  2 Ga 2.79, 2 Ca 2.95

Summary:
The formation energy from the elements comes out at -3.303 eV/f.u.

Entry 4:
The following is a DFT calculation (GGA-PBE) of an optimized crystal structure of MgSb2IN.

Cell: 4.8474 4.8474 4.8596 Å, 90.00 90.00 90.00°
Last column: nearest neighbours and their distance in Å.
Sites, in units of the cell vectors:
I1 0.0000 0.0000 0.5000  2 N 2.43
Sb1 0.0000 0.5000 0.0000  2 N 2.42
Sb2 0.5000 0.0000 0.0000  2 N 2.42
Mg1 0.5000 0.5000 0.5000  4 I 3.43, 8 Sb 3.43
N1 0.0000 0.0000 0.0000  4 Sb 2.42, 2 I 2.43

Summary:
For the offset from the most stable computed form, the calculation gives 0 meV/atom. The calculation puts the formation energy without anion corrections at 60.3 kJ per mole of atoms.

Number 1: energy -18.0 eV/cell. Number 2: energy -90.5 eV/cell. Number 3: energy -39.1 eV/cell. Number 4: energy -16.6 eV/cell.